[1]
Computed, not measured: crystalline AcLaSmPb at its relaxed geometry at the GGA-PBE level of DFT.

a = 5.757 Å, b = 5.757 Å, c = 5.757 Å
α = 60.00°, β = 60.00°, γ = 60.00°
Positions (direct):
1 Pb 0.250 0.250 0.250
2 Ac 0.750 0.750 0.750
3 Sm 0.000 0.000 0.000
4 La 0.500 0.500 0.500

Computed properties:
Total magnetization (μB/f.u.): 0.00
DOS at the Fermi energy (states/eV/f.u.): 6.8
Formation energy (eV/atom): -0.14
Theoretical density (g cm⁻³): 8.91

---

[2]
Computed, not measured: crystalline AcLaTbPb at its relaxed geometry at the GGA-PBE level of DFT.

a = 5.729 Å, b = 5.729 Å, c = 5.729 Å
α = 60.00°, β = 60.00°, γ = 60.00°
Positions (direct):
1 Pb 0.250 0.250 0.250
2 Ac 0.750 0.750 0.750
3 Tb 0.500 0.500 0.500
4 La 0.000 0.000 0.000

Computed properties:
Total magnetization (μB/f.u.): 0.00
DOS at the Fermi energy (states/eV/f.u.): 6.5
Formation energy (eV/atom): -0.11
Theoretical density (g cm⁻³): 9.14